Entry 1:
GeSbTe2F | PBE-GGA | relaxed

Crystal system: tetragonal
Offset from the most stable computed form (meV/atom): 289.3
Raw formation energy (eV/atom): 0.337

Lattice parameters (Å, degrees): 5.3457 5.3457 5.3912 90.00 90.00 90.00
Space group P4/mmm (No. 123)
One atom of each set of equivalent atoms:
Ge (0.0000, 0.0000, 0.0000) x1
Sb (0.0000, 0.0000, 0.5000) x1
Te (0.0000, 0.5000, 0.0000) x2
F (0.5000, 0.5000, 0.5000) x1

Entry 2:
CeDy2Cd2In2 | PBE-GGA | relaxed

Crystal system: trigonal
DFT formation energy (eV per atom): -0.219

Lattice parameters (Å, degrees): 4.9863 4.9863 26.7786 90.00 90.00 120.00
Space group R-3m (No. 166, hexagonal axes)
One atom of each set of equivalent atoms:
Ce (0.0000, 0.0000, 0.0000) x3
Dy (0.0000, 0.0000, 0.1287) x6
Cd (0.0000, 0.0000, 0.4038) x6
In (0.0000, 0.0000, 0.2590) x6

Entry 3:
CeMg2Si2Ir | PBE-GGA | relaxed

Crystal system: tetragonal
Raw formation energy (eV/atom): 0.076

Lattice parameters (Å, degrees): 5.0365 5.0365 10.7644 90.00 90.00 90.00
Space group I4/mmm (No. 139)
One atom of each set of equivalent atoms:
Ce (0.0000, 0.0000, 0.0000) x2
Mg (0.0000, 0.5000, 0.2500) x4
Si (0.0000, 0.0000, 0.2894) x4
Ir (0.0000, 0.0000, 0.5000) x2

Entry 4:
TaBePb2 | PBE-GGA | relaxed

Crystal system: monoclinic
DFT formation energy (eV per atom): 0.502

Lattice parameters (Å, degrees): 3.9140 4.0437 5.6901 90.00 110.08 90.00
Space group Pm (No. 6)
One atom of each set of equivalent atoms:
Ta (0.0000, 0.0000, 0.0000) x1
Be (0.1386, 0.5000, 0.2798) x1
Pb (0.4232, 0.5000, 0.8473) x1
Pb (0.7148, 0.0000, 0.4283) x1

Entry 5:
RbCd4Sn2 | PBE-GGA | relaxed

Crystal system: orthorhombic
DFT formation energy (eV per atom): -0.075

Lattice parameters (Å, degrees): 4.8602 17.0519 4.8067 90.00 90.00 90.00
Space group Cmmm (No. 65)
One atom of each set of equivalent atoms:
Rb (0.0000, 0.0000, 0.0000) x2
Cd (0.0000, 0.1874, 0.5000) x4
Cd (0.0000, 0.3067, 0.0000) x4
Sn (0.0000, 0.4107, 0.5000) x4

Entry 6:
Y2ScTl3Se6 | PBE-GGA | relaxed

Crystal system: monoclinic
Raw formation energy (eV/atom): -1.345

Lattice parameters (Å, degrees): 7.1388 12.3561 8.1140 90.00 107.04 90.00
Space group C2/m (No. 12)
One atom of each set of equivalent atoms:
Y (0.0000, 0.1664, 0.0000) x4
Sc (0.0000, 0.5000, 0.0000) x2
Tl (0.0000, 0.0000, 0.5000) x2
Tl (0.0000, 0.3301, 0.5000) x4
Se (0.2270, 0.3398, 0.2001) x8
Se (0.2469, 0.0000, 0.2034) x4

Entry 7:
Ba2LaAs | PBE-GGA | relaxed

Crystal system: orthorhombic
DFT formation energy (eV per atom): -0.512

Lattice parameters (Å, degrees): 4.1489 5.9719 13.8624 90.00 90.00 90.00
Space group Imm2 (No. 44)
One atom of each set of equivalent atoms:
Ba (0.0000, 0.0000, 0.0000) x2
Ba (0.0000, 0.5000, 0.1764) x2
La (0.0000, 0.5000, 0.8319) x2
As (0.0000, 0.0000, 0.4843) x2

Entry 8:
CaPm3Sb3 | PBE-GGA | relaxed

Crystal system: cubic
Offset from the most stable computed form (meV/atom): 0.0
Raw formation energy (eV/atom): -1.037

Lattice parameters (Å, degrees): 9.4631 9.4631 9.4631 90.00 90.00 90.00
Space group P2_13 (No. 198)
One atom of each set of equivalent atoms:
Ca (0.0710, 0.4290, 0.5710) x4
Pm (0.0725, 0.5725, 0.9275) x4
Pm (0.1781, 0.1781, 0.1781) x4
Pm (0.1810, 0.8190, 0.3190) x4
Sb (0.0010, 0.7507, 0.6223) x12

Entry 9:
SrIn2Co2 | PBE-GGA | relaxed

Crystal system: tetragonal
DFT formation energy (eV per atom): 0.097

Lattice parameters (Å, degrees): 4.5001 4.5001 10.7808 90.00 90.00 90.00
Space group I4/mmm (No. 139)
One atom of each set of equivalent atoms:
Sr (0.0000, 0.0000, 0.0000) x2
In (0.0000, 0.0000, 0.3596) x4
Co (0.0000, 0.5000, 0.2500) x4

Entry 10:
Y2TaRe | PBE-GGA | relaxed

Crystal system: cubic
Offset from the most stable computed form (meV/atom): 600.6
DFT formation energy (eV per atom): 0.635

Lattice parameters (Å, degrees): 7.0708 7.0708 7.0708 90.00 90.00 90.00
Space group Fm-3m (No. 225)
One atom of each set of equivalent atoms:
Y (0.2500, 0.2500, 0.2500) x8
Ta (0.0000, 0.0000, 0.0000) x4
Re (0.0000, 0.0000, 0.5000) x4

Entry 11:
NaSc2I6 | PBE-GGA | relaxed

Crystal system: trigonal
Offset from the most stable computed form (meV/atom): 0.0
Raw formation energy (eV/atom): -1.229

Lattice parameters (Å, degrees): 7.8154 7.8154 13.7800 90.00 90.00 120.00
Space group P31c (No. 159)
One atom of each set of equivalent atoms:
Na (0.3333, 0.6667, 0.0000) x2
Sc (0.0000, 0.0000, 0.0017) x2
Sc (0.0000, 0.0000, 0.2516) x2
I (0.0061, 0.6994, 0.6270) x6
I (0.0083, 0.3078, 0.3763) x6

Entry 12:
Ba2Tl2InHg4 | PBE-GGA | relaxed

Crystal system: tetragonal
DFT formation energy (eV per atom): -0.297

Lattice parameters (Å, degrees): 7.3952 7.3952 10.7074 90.00 90.00 90.00
Space group I4/mmm (No. 139)
One atom of each set of equivalent atoms:
Ba (0.0000, 0.5000, 0.2500) x4
Tl (0.0000, 0.0000, 0.2056) x4
In (0.0000, 0.0000, 0.5000) x2
Hg (0.2190, 0.2190, 0.0000) x8

Entry 13:
NiIr7Ru4 | PBE-GGA | relaxed

Crystal system: triclinic
Offset from the most stable computed form (meV/atom): 0.0
DFT formation energy (eV per atom): -0.004

Lattice parameters (Å, degrees): 4.6884 5.4253 7.1824 100.93 109.00 90.00
Space group P-1 (No. 2)
One atom of each set of equivalent atoms:
Ni (0.0000, 0.0000, 0.0000) x1
Ir (0.0000, 0.5000, 0.0000) x1
Ir (0.0027, 0.3335, 0.3383) x2
Ir (0.4972, 0.2495, 0.9994) x2
Ir (0.5005, 0.0824, 0.3341) x2
Ru (0.0009, 0.8337, 0.3364) x2
Ru (0.5001, 0.4168, 0.6666) x2

Entry 14:
Cs2K5Ag | PBE-GGA | relaxed

Crystal system: monoclinic
DFT formation energy (eV per atom): 0.056

Lattice parameters (Å, degrees): 10.5912 12.6557 10.2214 90.00 120.68 90.00
Space group Cm (No. 8)
One atom of each set of equivalent atoms:
Cs (0.0000, 0.2480, 0.0000) x4
K (0.0007, 0.1902, 0.5013) x4
K (0.1282, 0.5000, 0.3518) x2
K (0.1427, 0.5000, 0.7872) x2
K (0.2284, 0.0000, 0.3552) x2
Ag (0.3440, 0.5000, 0.1816) x2

Entry 15:
Ho3Tc | PBE-GGA | relaxed

Crystal system: orthorhombic
DFT formation energy (eV per atom): 0.113

Lattice parameters (Å, degrees): 5.4783 10.6728 14.8557 90.00 90.00 90.00
Space group Fmmm (No. 69)
One atom of each set of equivalent atoms:
Ho (0.0000, 0.0000, 0.1798) x8
Ho (0.0000, 0.1626, 0.3902) x16
Tc (0.0000, 0.1171, 0.0000) x8

Entry 16:
Pm2YHo2Er | PBE-GGA | relaxed

Crystal system: orthorhombic
DFT formation energy (eV per atom): 0.065

Lattice parameters (Å, degrees): 7.0059 5.6352 9.7679 90.00 90.00 90.00
Space group Pmma (No. 51)
One atom of each set of equivalent atoms:
Pm (0.0000, 0.0000, 0.0000) x2
Pm (0.2500, 0.5000, 0.1744) x2
Y (0.0000, 0.5000, 0.5000) x2
Ho (0.2500, 0.0000, 0.3312) x2
Ho (0.2500, 0.5000, 0.8367) x2
Er (0.2500, 0.0000, 0.6605) x2

Entry 17:
K2MgZn | PBE-GGA | relaxed

Crystal system: orthorhombic
Offset from the most stable computed form (meV/atom): 135.1
DFT formation energy (eV per atom): 0.248

Lattice parameters (Å, degrees): 5.0467 5.5601 5.5717 90.00 90.00 90.00
Space group Pmmm (No. 47)
One atom of each set of equivalent atoms:
K (0.0000, 0.0000, 0.0000) x1
K (0.0000, 0.5000, 0.5000) x1
Mg (0.5000, 0.0000, 0.5000) x1
Zn (0.5000, 0.5000, 0.0000) x1

Entry 18:
Tb2YErSe6 | PBE-GGA | relaxed

Crystal system: trigonal
Raw formation energy (eV/atom): -1.855

Lattice parameters (Å, degrees): 7.2086 7.2086 19.4514 90.00 90.00 120.00
Space group R3 (No. 146, hexagonal axes)
One atom of each set of equivalent atoms:
Tb (0.0000, 0.0000, 0.0000) x3
Tb (0.0000, 0.0000, 0.4995) x3
Y (0.0000, 0.0000, 0.1963) x3
Er (0.0000, 0.0000, 0.6955) x3
Se (0.0302, 0.6724, 0.7653) x9
Se (0.0313, 0.3618, 0.2658) x9

Entry 19:
Na3CdGe | PBE-GGA | relaxed

Crystal system: cubic
Offset from the most stable computed form (meV/atom): 470.1
DFT formation energy (eV per atom): 0.445

Lattice parameters (Å, degrees): 5.5650 5.5650 5.5650 90.00 90.00 90.00
Space group Pm-3m (No. 221)
One atom of each set of equivalent atoms:
Na (0.0000, 0.0000, 0.5000) x3
Cd (0.0000, 0.0000, 0.0000) x1
Ge (0.5000, 0.5000, 0.5000) x1

Entry 20:
RbNaReN2 | PBE-GGA | relaxed

Crystal system: orthorhombic
Raw formation energy (eV/atom): -0.024

Lattice parameters (Å, degrees): 5.3759 13.1319 6.2539 90.00 90.00 90.00
Space group Cmme (No. 67)
One atom of each set of equivalent atoms:
Rb (0.0000, 0.2500, 0.2015) x4
Na (0.0000, 0.0000, 0.5000) x4
Re (0.2500, 0.0000, 0.0000) x4
N (0.0000, 0.0792, 0.8400) x8

Final energy for every record listed, in sequence, given in eV/atom: -3.041; -3.425; -4.729; -5.247; -1.880; -5.284; -3.868; -5.126; -4.177; -8.672; -3.816; -1.689; -8.747; -1.200; -5.912; -4.883; -1.018; -5.975; -1.453; -6.301.